Record 1
Entry from Alexandria via LeMat-Bulk: an optimized crystal structure of TaFe2W (PBE).

abc: 3.643 3.643 8.362
angles: 90.00 90.00 90.00
Space group I-4m2 (No. 119)
Asymmetric unit:
1 Ta 0.000 0.000 0.000 x2
2 Fe 0.000 0.000 0.500 x2
3 Fe 0.000 0.500 0.250 x2
4 W 0.000 0.500 0.750 x2

Output
- Density: 14.26 g/cm3
- Calculated formation energy: 159 meV per atom

=====

Record 2
Entry from Alexandria via LeMat-Bulk: an optimized crystal structure of TaFe2W (PBE).

abc: 2.669 4.342 5.002
angles: 90.00 98.97 90.00
Space group Pm (No. 6)
Asymmetric unit:
1 Ta 0.000 0.000 0.000 x1
2 Fe 0.276 0.500 0.773 x1
3 Fe 0.479 0.000 0.513 x1
4 W 0.742 0.500 0.294 x1

Output
- Density: 13.82 g/cm3
- Calculated formation energy: 87 meV per atom

=====

Record 3
Entry from Alexandria via LeMat-Bulk: an optimized crystal structure of TaFe2W (PBE).

abc: 3.190 4.331 8.302
angles: 90.00 90.00 90.00
Space group Immm (No. 71)
Asymmetric unit:
1 Ta 0.000 0.000 0.000 x2
2 Fe 0.000 0.500 0.247 x4
3 W 0.000 0.000 0.500 x2

Output
- Density: 13.80 g/cm3
- Calculated formation energy: 76 meV per atom